No. 1
# CuSCl3 (PBE-GGA, optimized geometry)
# - E_form (uncorrected): 2.0 eV/f.u.
data_CuSCl3
_cell_length_a 4.859
_cell_length_b 4.859
_cell_length_c 4.859
_cell_angle_alpha 90.00
_cell_angle_beta 90.00
_cell_angle_gamma 90.00
_symmetry_space_group_name_H-M 'P m -3 m'
_symmetry_Int_Tables_number 221
_symmetry_space_group_name_Hall '-P 4 2 3'
loop_
_atom_site_label
_atom_site_fract_x
_atom_site_fract_y
_atom_site_fract_z
Cu1 0.000 0.000 0.000
S1 0.500 0.500 0.500
Cl1 0.000 0.500 0.500

---

No. 2
# LiCrW3 (PBE-GGA, optimized geometry)
# - DFT formation energy: 1.623 eV/atom
data_LiCrW3
_cell_length_a 4.193
_cell_length_b 4.193
_cell_length_c 4.193
_cell_angle_alpha 90.00
_cell_angle_beta 90.00
_cell_angle_gamma 90.00
_symmetry_space_group_name_H-M 'P m -3 m'
_symmetry_Int_Tables_number 221
_symmetry_space_group_name_Hall '-P 4 2 3'
loop_
_atom_site_label
_atom_site_fract_x
_atom_site_fract_y
_atom_site_fract_z
Li1 0.000 0.000 0.000
Cr1 0.500 0.500 0.500
W1 0.000 0.000 0.500

---

No. 3
# V2AgBi (PBE-GGA, optimized geometry)
# - DFT formation energy: 0.822 eV/atom
data_V2AgBi
_cell_length_a 7.417
_cell_length_b 7.417
_cell_length_c 5.602
_cell_angle_alpha 90.00
_cell_angle_beta 90.00
_cell_angle_gamma 90.00
_symmetry_space_group_name_H-M 'I -4 2 d'
_symmetry_Int_Tables_number 122
_symmetry_space_group_name_Hall 'I -4 2bw'
loop_
_atom_site_label
_atom_site_fract_x
_atom_site_fract_y
_atom_site_fract_z
V1 0.247 0.250 0.125
Ag1 0.000 0.000 0.000
Bi1 0.000 0.000 0.500

---

Number 1: VASP energy -0.1734 Ry per atom, density of states at the Fermi level 1.3 states/eV/f.u., M_tot 0.00 μB/cell. Number 2: VASP energy -0.6215 Ry per atom, density of states at the Fermi level 7.5 states/eV/f.u., M_tot 0.00 μB/cell. Number 3: VASP energy -0.3984 Ry per atom, density of states at the Fermi level 3.5 states/eV/f.u., M_tot 0.00 μB/cell.